1.
A plane-wave DFT calculation with GGA-PBE was carried out for a geometry-optimized NaPS2I structure.

Computed properties:
The relative energy among the computed polymorphs comes out at 0 meV/atom. As for the crystal system: tetragonal. Its density of states at the Fermi level is 2.76 states/eV/cell. The value obtained for the density is 2.80 g/cm3.

a b c (Å): 5.2320 5.2320 5.3092
angles (deg): 90.00 90.00 90.00
With the nearest neighbours (Å) after each atom.
Atoms (fractional coordinates):
1 I 0.0000 0.0000 0.0000  4 S 2.62, 2 P 2.65
2 P 0.0000 0.0000 0.5000  2 I 2.65
3 S 0.0000 0.5000 0.0000  2 I 2.62
4 S 0.5000 0.0000 0.0000  2 I 2.62
5 Na 0.5000 0.5000 0.5000  4 P 3.70, 8 S 3.73

***

2.
A plane-wave DFT calculation with GGA-PBE was carried out for a geometry-optimized NaPS2I structure.

Computed properties:
The relative energy among the computed polymorphs comes out at 482 meV/atom. As for the crystal system: tetragonal. Its density of states at the Fermi level is 4.13 states/eV/cell. The value obtained for the density is 2.79 g/cm3.

a b c (Å): 5.0154 5.0154 5.7903
angles (deg): 90.00 90.00 90.00
With the nearest neighbours (Å) after each atom.
Atoms (fractional coordinates):
1 I 0.5000 0.5000 0.5000  4 P 3.55, 8 S 3.83
2 P 0.0000 0.0000 0.5000  2 Na 2.90
3 S 0.0000 0.5000 0.0000  2 Na 2.51
4 S 0.5000 0.0000 0.0000  2 Na 2.51
5 Na 0.0000 0.0000 0.0000  4 S 2.51